Record 1
Computed, not measured: a PBEsol-optimized structure of TiZn2Pd at the SCAN level of DFT.

Unit cell a=4.299 b=4.299 c=4.299 alpha=60.00 beta=60.00 gamma=60.00
Element x y z (fractional)
1 Ti 0.000 0.000 0.000
2 Zn 0.250 0.250 0.250
3 Zn 0.750 0.750 0.750
4 Pd 0.500 0.500 0.500

Properties
SG: Fm-3m
Crystal system: cubic
Uncorrected energy in eV/f.u.: -77.55


Record 2
Computed, not measured: a PBEsol-optimized structure of Tl9Pd13 at the SCAN level of DFT.

Unit cell a=8.961 b=8.961 c=5.640 alpha=90.00 beta=90.00 gamma=120.00
Element x y z (fractional)
1 Tl 0.000 0.000 0.000
2 Tl 0.193 0.386 0.747
3 Tl 0.193 0.807 0.747
4 Tl 0.333 0.667 0.249
5 Tl 0.386 0.193 0.253
6 Tl 0.614 0.807 0.747
7 Tl 0.667 0.333 0.751
8 Tl 0.807 0.193 0.253
9 Tl 0.807 0.614 0.253
10 Pd 0.000 0.000 0.500
11 Pd 0.000 0.500 0.000
12 Pd 0.000 0.500 0.500
13 Pd 0.159 0.318 0.253
14 Pd 0.159 0.841 0.253
15 Pd 0.318 0.159 0.747
16 Pd 0.500 0.000 0.000
17 Pd 0.500 0.000 0.500
18 Pd 0.500 0.500 0.000
19 Pd 0.500 0.500 0.500
20 Pd 0.682 0.841 0.253
21 Pd 0.841 0.159 0.747
22 Pd 0.841 0.682 0.747

Properties
SG: P-3m1
Crystal system: trigonal
Uncorrected energy in eV/f.u.: -1081.86


Record 3
Computed, not measured: a PBEsol-optimized structure of TlPd3 at the SCAN level of DFT.

Unit cell a=4.763 b=4.763 c=4.763 alpha=128.66 beta=128.66 gamma=75.57
Element x y z (fractional)
1 Tl 0.000 0.000 0.000
2 Pd 0.250 0.750 0.500
3 Pd 0.500 0.500 0.000
4 Pd 0.750 0.250 0.500

Properties
SG: I4/mmm
Crystal system: tetragonal
Uncorrected energy in eV/f.u.: -171.50